TlSbIr4 at its PBEsol-relaxed geometry. Source: Alexandria via LeMat-Bulk, functional SCAN.

## Properties
The space-group type is F-43m, No. 216. The formation energy (no corrections) comes out at 0.60 eV per atom.

Cell lengths 5.291, 5.291, 5.291 Å; angles 60.00, 60.00, 60.00 degrees
Positions (direct):
1 Ir 0.875 0.375 0.375
2 Ir 0.375 0.375 0.875
3 Ir 0.375 0.375 0.375
4 Tl 0.000 0.000 0.000
5 Sb 0.750 0.750 0.750
6 Ir 0.375 0.875 0.375